Record 1
First-principles (PBE) data for a relaxed structure of MnSiPdAuI, as listed in Alexandria.

The structure in POSCAR format:
```
MnSiPdAuI
1.0
4.058 0.000 0.000
-2.029 3.515 0.000
0.000 0.000 8.001
Mn Si Pd Au I
1 1 1 1 1
Direct
0.000 0.000 0.000
0.000 0.000 0.308
0.333 0.667 0.213
0.667 0.333 0.421
0.667 0.333 0.804
```

- Spin magnetization: 3.91 μB per cell
- ΔE to the lowest computed polymorph: 0.93 kJ/mol of atoms
- N(E_F): 0.444 states/eV per atom
- V: 114 Å³/f.u.
- E_tot: -4.99 eV/atom
- Space-group type: P3m1 (156)
- ρ: 7.5 Mg/m³



Record 2
First-principles (PBE) data for a relaxed structure of MnSiPdAuI, as listed in Alexandria.

The structure in POSCAR format:
```
MnSiPdAuI
1.0
3.568 -2.076 0.000
3.568 2.076 0.000
-2.338 0.000 7.562
Mn Si Pd Au I
1 1 1 1 1
Direct
0.000 0.000 0.000
0.252 0.252 0.756
0.604 0.604 0.812
0.873 0.873 0.613
0.745 0.745 0.234
```

- Spin magnetization: 3.97 μB per cell
- ΔE to the lowest computed polymorph: 0.00 kJ/mol of atoms
- N(E_F): 0.448 states/eV per atom
- V: 112 Å³/f.u.
- E_tot: -5.00 eV/atom
- Space-group type: Cm (8)
- ρ: 7.6 Mg/m³



Record 3
First-principles (PBE) data for a relaxed structure of MnSiPdAuI, as listed in Alexandria.

The structure in POSCAR format:
```
MnSiPdAuI
1.0
3.547 -2.047 0.000
3.547 2.047 0.000
-3.255 0.000 8.082
Mn Si Pd Au I
1 1 1 1 1
Direct
0.000 0.000 0.000
0.854 0.854 0.694
0.232 0.232 0.789
0.477 0.477 0.596
0.753 0.753 0.188
```

- Spin magnetization: 3.94 μB per cell
- ΔE to the lowest computed polymorph: 2.49 kJ/mol of atoms
- N(E_F): 0.468 states/eV per atom
- V: 117 Å³/f.u.
- E_tot: -4.98 eV/atom
- Space-group type: Cm (8)
- ρ: 7.3 Mg/m³



Record 4
First-principles (PBE) data for a relaxed structure of RbMn2AuI8, as listed in Alexandria.

The structure in POSCAR format:
```
RbMn2AuI8
1.0
7.416 0.000 0.000
-3.708 6.423 0.000
0.000 0.000 10.308
Rb Mn Au I
1 2 1 8
Direct
0.000 0.000 0.000
0.333 0.667 0.740
0.667 0.333 0.260
0.000 0.000 0.500
0.000 0.315 0.671
0.000 0.685 0.329
0.315 0.316 0.329
0.316 0.000 0.671
0.333 0.667 0.992
0.667 0.333 0.008
0.684 0.000 0.329
0.685 0.684 0.671
```

- Spin magnetization: 7.98 μB per cell
- N(E_F): 0.304 states/eV per atom
- V: 491 Å³/f.u.
- E_tot: -3.35 eV/atom
- Space-group type: P-3 (147)
- ρ: 4.8 Mg/m³



Record 5
First-principles (PBE) data for a relaxed structure of MnAu2SI, as listed in Alexandria.

The structure in POSCAR format:
```
MnAu2SI
1.0
4.580 0.000 0.000
0.000 4.580 0.000
0.000 0.000 8.189
Mn Au S I
1 2 1 1
Direct
0.000 0.000 0.000
0.000 0.500 0.500
0.500 0.000 0.500
0.500 0.500 0.500
0.500 0.500 0.000
```

- Spin magnetization: 5.12 μB per cell
- N(E_F): 0.744 states/eV per atom
- V: 172 Å³/f.u.
- E_tot: -3.77 eV/atom
- Space-group type: P4/mmm (123)
- ρ: 5.9 Mg/m³



Record 6
First-principles (PBE) data for a relaxed structure of MnSbAuI2, as listed in Alexandria.

The structure in POSCAR format:
```
MnSbAuI2
1.0
5.650 0.000 0.000
0.000 5.650 0.000
0.000 0.000 5.541
Mn Sb Au I
1 1 1 2
Direct
0.000 0.000 0.000
0.500 0.500 0.000
0.500 0.500 0.500
0.000 0.500 0.500
0.500 0.000 0.500
```

- Spin magnetization: 4.16 μB per cell
- N(E_F): 0.531 states/eV per atom
- V: 177 Å³/f.u.
- E_tot: -3.24 eV/atom
- Space-group type: P4/mmm (123)
- ρ: 5.9 Mg/m³



Record 7
First-principles (PBE) data for a relaxed structure of MnSbAuI2, as listed in Alexandria.

The structure in POSCAR format:
```
MnSbAuI2
1.0
5.314 0.000 0.000
0.000 5.314 0.000
0.000 0.000 4.938
Mn Sb Au I
1 1 1 2
Direct
0.000 0.000 0.000
0.000 0.000 0.500
0.500 0.500 0.500
0.000 0.500 0.000
0.500 0.000 0.000
```

- Spin magnetization: 0.01 μB per cell
- N(E_F): 1.340 states/eV per atom
- V: 139 Å³/f.u.
- E_tot: -3.24 eV/atom
- Space-group type: P4/mmm (123)
- ρ: 7.5 Mg/m³



Record 8
First-principles (PBE) data for a relaxed structure of MnSb2AuI, as listed in Alexandria.

The structure in POSCAR format:
```
MnSb2AuI
1.0
5.415 0.000 0.000
0.000 5.415 0.000
0.000 0.000 5.662
Mn Sb Au I
1 2 1 1
Direct
0.000 0.000 0.000
0.000 0.500 0.500
0.500 0.000 0.500
0.500 0.500 0.500
0.500 0.500 0.000
```

- Spin magnetization: 4.05 μB per cell
- ΔE to the lowest computed polymorph: 30.43 kJ/mol of atoms
- N(E_F): 0.657 states/eV per atom
- V: 166 Å³/f.u.
- E_tot: -3.61 eV/atom
- Space-group type: P4/mmm (123)
- ρ: 6.2 Mg/m³



Record 9
First-principles (PBE) data for a relaxed structure of MnSb2AuI, as listed in Alexandria.

The structure in POSCAR format:
```
MnSb2AuI
1.0
5.035 0.000 0.000
0.000 5.035 0.000
0.000 0.000 5.347
Mn Sb Au I
1 2 1 1
Direct
0.000 0.000 0.000
0.000 0.500 0.000
0.500 0.000 0.000
0.500 0.500 0.500
0.000 0.000 0.500
```

- Spin magnetization: 1.83 μB per cell
- ΔE to the lowest computed polymorph: 0.00 kJ/mol of atoms
- N(E_F): 0.635 states/eV per atom
- V: 136 Å³/f.u.
- E_tot: -3.92 eV/atom
- Space-group type: P4/mmm (123)
- ρ: 7.6 Mg/m³



Record 10
First-principles (PBE) data for a relaxed structure of SrMnAuI2, as listed in Alexandria.

The structure in POSCAR format:
```
SrMnAuI2
1.0
5.938 0.000 0.000
0.000 5.938 0.000
0.000 0.000 5.045
Sr Mn Au I
1 1 1 2
Direct
0.000 0.000 0.000
0.500 0.500 0.000
0.500 0.500 0.500
0.000 0.500 0.500
0.500 0.000 0.500
```

- Spin magnetization: 4.37 μB per cell
- N(E_F): 0.510 states/eV per atom
- V: 178 Å³/f.u.
- E_tot: -3.46 eV/atom
- Space-group type: P4/mmm (123)
- ρ: 5.5 Mg/m³



Record 11
First-principles (PBE) data for a relaxed structure of MnTe2AuI, as listed in Alexandria.

The structure in POSCAR format:
```
MnTe2AuI
1.0
4.870 0.000 0.000
0.000 4.870 0.000
0.000 0.000 5.784
Mn Te Au I
1 2 1 1
Direct
0.000 0.000 0.000
0.000 0.500 0.000
0.500 0.000 0.000
0.500 0.500 0.500
0.000 0.000 0.500
```

- Spin magnetization: 0.00 μB per cell
- ΔE to the lowest computed polymorph: 0.00 kJ/mol of atoms
- N(E_F): 0.617 states/eV per atom
- V: 137 Å³/f.u.
- E_tot: -3.46 eV/atom
- Space-group type: P4/mmm (123)
- ρ: 7.7 Mg/m³



Record 12
First-principles (PBE) data for a relaxed structure of MnTe2AuI, as listed in Alexandria.

The structure in POSCAR format:
```
MnTe2AuI
1.0
5.502 0.000 0.000
0.000 5.502 0.000
0.000 0.000 5.534
Mn Te Au I
1 2 1 1
Direct
0.000 0.000 0.000
0.000 0.500 0.500
0.500 0.000 0.500
0.500 0.500 0.500
0.500 0.500 0.000
```

- Spin magnetization: 5.04 μB per cell
- ΔE to the lowest computed polymorph: 6.07 kJ/mol of atoms
- N(E_F): 0.766 states/eV per atom
- V: 168 Å³/f.u.
- E_tot: -3.39 eV/atom
- Space-group type: P4/mmm (123)
- ρ: 6.3 Mg/m³



Record 13
First-principles (PBE) data for a relaxed structure of MnTeAuI2, as listed in Alexandria.

The structure in POSCAR format:
```
MnTeAuI2
1.0
5.491 0.000 0.000
0.000 5.491 0.000
0.000 0.000 4.802
Mn Te Au I
1 1 1 2
Direct
0.000 0.000 0.000
0.000 0.000 0.500
0.500 0.500 0.500
0.000 0.500 0.000
0.500 0.000 0.000
```

- Spin magnetization: 0.12 μB per cell
- ΔE to the lowest computed polymorph: 8.20 kJ/mol of atoms
- N(E_F): 1.195 states/eV per atom
- V: 145 Å³/f.u.
- E_tot: -3.09 eV/atom
- Space-group type: P4/mmm (123)
- ρ: 7.3 Mg/m³



Record 14
First-principles (PBE) data for a relaxed structure of MnTeAuI2, as listed in Alexandria.

The structure in POSCAR format:
```
MnTeAuI2
1.0
5.515 0.000 0.000
0.000 5.515 0.000
0.000 0.000 5.719
Mn Te Au I
1 1 1 2
Direct
0.000 0.000 0.000
0.500 0.500 0.000
0.500 0.500 0.500
0.000 0.500 0.500
0.500 0.000 0.500
```

- Spin magnetization: 5.22 μB per cell
- ΔE to the lowest computed polymorph: 0.00 kJ/mol of atoms
- N(E_F): 0.362 states/eV per atom
- V: 174 Å³/f.u.
- E_tot: -3.18 eV/atom
- Space-group type: P4/mmm (123)
- ρ: 6.0 Mg/m³



Record 15
First-principles (PBE) data for a relaxed structure of MnTl2AuI6, as listed in Alexandria.

The structure in POSCAR format:
```
MnTl2AuI6
1.0
7.498 0.000 0.000
0.000 8.815 0.000
-6.416 0.000 11.930
Mn Tl Au I
2 4 2 12
Direct
0.000 0.000 0.000
0.000 0.500 0.500
0.328 0.122 0.767
0.328 0.378 0.267
0.672 0.622 0.733
0.672 0.878 0.233
0.500 0.000 0.500
0.500 0.500 0.000
0.118 0.001 0.218
0.118 0.499 0.718
0.252 0.656 0.049
0.252 0.844 0.549
0.325 0.162 0.037
0.325 0.338 0.537
0.675 0.662 0.463
0.675 0.838 0.963
0.748 0.156 0.451
0.748 0.344 0.951
0.882 0.501 0.282
0.882 0.999 0.782
```

- Spin magnetization: 7.93 μB per cell
- V: 394 Å³/f.u.
- E_tot: -3.04 eV/atom
- Space-group type: P2_1/c (14)
- ρ: 6.0 Mg/m³



Record 16
First-principles (PBE) data for a relaxed structure of MoAu2I2, as listed in Alexandria.

The structure in POSCAR format:
```
MoAu2I2
1.0
8.066 0.000 0.000
0.000 8.066 0.000
0.000 0.000 4.408
Mo Au I
2 4 4
Direct
0.000 0.000 0.000
0.500 0.500 0.000
0.116 0.384 0.500
0.384 0.884 0.500
0.616 0.116 0.500
0.884 0.616 0.500
0.217 0.717 0.000
0.283 0.217 0.000
0.717 0.783 0.000
0.783 0.283 0.000
```

- Spin magnetization: 8.24 μB per cell
- ΔE to the lowest computed polymorph: 20.18 kJ/mol of atoms
- N(E_F): 0.358 states/eV per atom
- V: 143 Å³/f.u.
- E_tot: -3.27 eV/atom
- Space-group type: P4/mbm (127)
- ρ: 8.6 Mg/m³



Record 17
First-principles (PBE) data for a relaxed structure of MoAuI3, as listed in Alexandria.

The structure in POSCAR format:
```
MoAuI3
1.0
5.663 0.000 0.000
0.000 5.663 0.000
0.000 0.000 5.663
Mo Au I
1 1 3
Direct
0.000 0.000 0.000
0.500 0.500 0.500
0.000 0.500 0.500
0.500 0.000 0.500
0.500 0.500 0.000
```

- Spin magnetization: 4.88 μB per cell
- ΔE to the lowest computed polymorph: 28.90 kJ/mol of atoms
- N(E_F): 0.853 states/eV per atom
- V: 182 Å³/f.u.
- E_tot: -2.85 eV/atom
- Space-group type: Pm-3m (221)
- ρ: 6.2 Mg/m³



Record 18
First-principles (PBE) data for a relaxed structure of Mo3AuI, as listed in Alexandria.

The structure in POSCAR format:
```
Mo3AuI
1.0
4.843 0.000 0.000
0.000 4.843 0.000
0.000 0.000 4.843
Mo Au I
3 1 1
Direct
0.000 0.000 0.500
0.000 0.500 0.000
0.500 0.000 0.000
0.500 0.500 0.500
0.000 0.000 0.000
```

- Spin magnetization: 0.00 μB per cell
- ΔE to the lowest computed polymorph: 0.00 kJ/mol of atoms
- N(E_F): 0.989 states/eV per atom
- V: 114 Å³/f.u.
- E_tot: -5.36 eV/atom
- Space-group type: Pm-3m (221)
- ρ: 8.9 Mg/m³



Record 19
First-principles (PBE) data for a relaxed structure of MoAu3I, as listed in Alexandria.

The structure in POSCAR format:
```
MoAu3I
1.0
5.119 0.000 0.000
0.000 5.119 0.000
0.000 0.000 5.119
Mo Au I
1 3 1
Direct
0.000 0.000 0.000
0.000 0.000 0.500
0.000 0.500 0.000
0.500 0.000 0.000
0.500 0.500 0.500
```

- Spin magnetization: 0.00 μB per cell
- ΔE to the lowest computed polymorph: 0.00 kJ/mol of atoms
- N(E_F): 0.698 states/eV per atom
- V: 134 Å³/f.u.
- E_tot: -3.32 eV/atom
- Space-group type: Pm-3m (221)
- ρ: 10.1 Mg/m³



Record 20
First-principles (PBE) data for a relaxed structure of MoAu2I2, as listed in Alexandria.

The structure in POSCAR format:
```
MoAu2I2
1.0
-1.825 1.825 10.361
1.825 -1.825 10.361
1.825 1.825 -10.361
Mo Au I
1 2 2
Direct
0.000 0.000 0.000
0.250 0.750 0.500
0.750 0.250 0.500
0.419 0.419 0.000
0.581 0.581 0.000
```

- Spin magnetization: 1.74 μB per cell
- ΔE to the lowest computed polymorph: 0.00 kJ/mol of atoms
- N(E_F): 0.776 states/eV per atom
- V: 138 Å³/f.u.
- E_tot: -3.48 eV/atom
- Space-group type: I4/mmm (139)
- ρ: 8.9 Mg/m³